First-principles (PBE with a Hubbard U) data for crystalline TlCrHgF2 at its relaxed geometry, as listed in Alexandria.

Summary:
E ... -4.133 eV per atom
Space group ... No. 123
Distance to the lowest polymorph of the same formula ... 0 meV per atom

Lattice parameters (Å, degrees): 4.134 4.134 6.354 90.00 90.00 90.00
Atoms (fractional coordinates):
Tl 0.000 0.000 0.000
Cr 0.500 0.500 0.500
Hg 0.500 0.500 0.000
F 0.000 0.500 0.500
F 0.500 0.000 0.500